Record 1
Here is a geometry-optimized CdCuCl2 structure from Alexandria via LeMat-Bulk. Energies are from GGA-PBEsol.

Fermi-level density of states = 5.269 states/eV per cell
Formation energy from raw total energies = -0.29 eV per atom

Unit cell a=3.231 b=5.736 c=8.874 alpha=90.00 beta=90.00 gamma=90.00
Fractional positions:
Cd (0.000, 0.000, 0.000)
Cd (0.500, 0.500, 0.500)
Cu (0.000, 0.000, 0.500)
Cu (0.500, 0.500, 0.000)
Cl (0.000, 0.500, 0.184)
Cl (0.000, 0.500, 0.816)
Cl (0.500, 0.000, 0.316)
Cl (0.500, 0.000, 0.684)


Record 2
Here is a geometry-optimized CdCuH8Cl4O4 structure from Alexandria via LeMat-Bulk. Energies are from GGA-PBEsol.

Unit cell a=3.988 b=6.900 c=8.373 alpha=93.37 beta=96.42 gamma=105.64
Fractional positions:
Cd (0.000, 0.000, 0.000)
Cu (0.500, 0.000, 0.500)
H (0.094, 0.652, 0.379)
H (0.317, 0.558, 0.797)
H (0.331, 0.640, 0.548)
H (0.434, 0.405, 0.668)
H (0.566, 0.595, 0.332)
H (0.669, 0.360, 0.452)
H (0.683, 0.442, 0.203)
H (0.906, 0.348, 0.621)
Cl (0.073, 0.055, 0.315)
Cl (0.381, 0.739, 0.010)
Cl (0.619, 0.261, 0.990)
Cl (0.927, 0.945, 0.685)
O (0.271, 0.491, 0.684)
O (0.341, 0.712, 0.443)
O (0.659, 0.288, 0.557)
O (0.729, 0.509, 0.316)


Record 3
Here is a geometry-optimized CdCuI2Cl structure from Alexandria via LeMat-Bulk. Energies are from GGA-PBEsol.

Fermi-level density of states = 4.810 states/eV per cell
Formation energy from raw total energies = 0.11 eV per atom

Unit cell a=5.059 b=5.059 c=5.353 alpha=90.00 beta=90.00 gamma=90.00
Fractional positions:
Cd (0.000, 0.000, 0.000)
Cu (0.000, 0.000, 0.500)
I (0.000, 0.500, 0.500)
I (0.500, 0.000, 0.500)
Cl (0.500, 0.500, 0.000)


Record 4
Here is a geometry-optimized CdCuP2Cl structure from Alexandria via LeMat-Bulk. Energies are from GGA-PBEsol.

Fermi-level density of states = 3.298 states/eV per cell
Formation energy from raw total energies = 1.19 eV per atom

Unit cell a=4.902 b=4.902 c=5.106 alpha=90.00 beta=90.00 gamma=90.00
Fractional positions:
Cd (0.000, 0.000, 0.000)
Cu (0.500, 0.500, 0.500)
P (0.000, 0.500, 0.000)
P (0.500, 0.000, 0.000)
Cl (0.000, 0.000, 0.500)


Record 5
Here is a geometry-optimized CdNClF2 structure from Alexandria via LeMat-Bulk. Energies are from GGA-PBEsol.

Fermi-level density of states = 1.753 states/eV per cell
Formation energy from raw total energies = 0.11 eV per atom

Unit cell a=4.078 b=4.078 c=5.600 alpha=90.00 beta=90.00 gamma=90.00
Fractional positions:
Cd (0.000, 0.000, 0.000)
N (0.000, 0.000, 0.500)
Cl (0.500, 0.500, 0.500)
F (0.000, 0.500, 0.000)
F (0.500, 0.000, 0.000)


Record 6
Here is a geometry-optimized CdPbClF2 structure from Alexandria via LeMat-Bulk. Energies are from GGA-PBEsol.

Fermi-level density of states = 2.953 states/eV per cell
Formation energy from raw total energies = -1.30 eV per atom

Unit cell a=4.399 b=4.399 c=5.272 alpha=90.00 beta=90.00 gamma=90.00
Fractional positions:
Cd (0.000, 0.000, 0.000)
Pb (0.500, 0.500, 0.500)
Cl (0.000, 0.000, 0.500)
F (0.000, 0.500, 0.000)
F (0.500, 0.000, 0.000)


Respective M_tot values: 0.00 0.97 0.00 1.72 2.20 0.38 μB per cell.
Respective DFT total energy values: -2.68 -4.35 -2.10 -2.63 -3.01 -3.51 eV per atom.